[1]
Entry from Alexandria: a relaxed structure of IrS (PBE).

Computed properties:
Formation energy (no corrections) in eV per atom: -0.05

```
data_IrS
_chemical_formula_sum 'Ir6 S6'
_space_group_name_H-M_alt 'P 1'
_space_group_IT_number 1
_cell_length_a 10.566
_cell_length_b 3.903
_cell_length_c 4.950
_cell_angle_alpha 90.00
_cell_angle_beta 90.00
_cell_angle_gamma 90.00
loop_
_space_group_symop_operation_xyz
'x,y,z'
loop_
_atom_site_label
_atom_site_type_symbol
_atom_site_fract_x
_atom_site_fract_y
_atom_site_fract_z
Ir1 Ir 0.298 0.885 0.745
Ir2 Ir 0.500 0.670 0.046
Ir3 Ir 0.000 0.330 0.546
Ir4 Ir 0.202 0.115 0.245
Ir5 Ir 0.702 0.885 0.745
Ir6 Ir 0.798 0.115 0.245
S1 S 0.000 0.839 0.315
S2 S 0.174 0.376 0.826
S3 S 0.826 0.376 0.826
S4 S 0.500 0.161 0.815
S5 S 0.326 0.624 0.326
S6 S 0.674 0.624 0.326
```

=====

[2]
Entry from Alexandria: a relaxed structure of IrS (PBE).

Computed properties:
Formation energy (no corrections) in eV per atom: 0.37

```
data_IrS
_chemical_formula_sum 'Ir2 S2'
_space_group_name_H-M_alt 'P 1'
_space_group_IT_number 1
_cell_length_a 2.981
_cell_length_b 4.028
_cell_length_c 4.911
_cell_angle_alpha 90.00
_cell_angle_beta 90.00
_cell_angle_gamma 90.00
loop_
_space_group_symop_operation_xyz
'x,y,z'
loop_
_atom_site_label
_atom_site_type_symbol
_atom_site_fract_x
_atom_site_fract_y
_atom_site_fract_z
Ir1 Ir 0.000 0.500 0.000
Ir2 Ir 0.500 0.000 0.500
S1 S 0.500 0.000 0.000
S2 S 0.000 0.500 0.500
```

=====

[3]
Entry from Alexandria: a relaxed structure of IrS8 (PBE).

Computed properties:
Formation energy (no corrections) in eV per atom: 0.45

```
data_IrS8
_chemical_formula_sum 'Ir1 S8'
_space_group_name_H-M_alt 'P 1'
_space_group_IT_number 1
_cell_length_a 8.730
_cell_length_b 6.751
_cell_length_c 6.751
_cell_angle_alpha 65.29
_cell_angle_beta 49.72
_cell_angle_gamma 49.72
loop_
_space_group_symop_operation_xyz
'x,y,z'
loop_
_atom_site_label
_atom_site_type_symbol
_atom_site_fract_x
_atom_site_fract_y
_atom_site_fract_z
S1 S 0.343 0.313 0.000
S2 S 0.000 0.696 0.304
S3 S 0.304 0.696 0.696
S4 S 0.657 0.687 0.000
S5 S 0.000 0.304 0.696
S6 S 0.696 0.304 0.304
S7 S 0.657 0.000 0.687
S8 S 0.343 0.000 0.313
Ir1 Ir 0.000 0.000 0.000
```

=====

[4]
Entry from Alexandria: a relaxed structure of Ir2S (PBE).

Computed properties:
Formation energy (no corrections) in eV per atom: 0.26
Energy relative to the lowest polymorph listed for this composition in meV/atom: 127

```
data_Ir2S
_chemical_formula_sum 'Ir2 S1'
_space_group_name_H-M_alt 'P 1'
_space_group_IT_number 1
_cell_length_a 3.790
_cell_length_b 3.790
_cell_length_c 3.565
_cell_angle_alpha 90.00
_cell_angle_beta 90.00
_cell_angle_gamma 120.00
loop_
_space_group_symop_operation_xyz
'x,y,z'
loop_
_atom_site_label
_atom_site_type_symbol
_atom_site_fract_x
_atom_site_fract_y
_atom_site_fract_z
Ir1 Ir 0.667 0.333 0.758
Ir2 Ir 0.333 0.667 0.242
S1 S 0.000 0.000 0.500
```

=====

[5]
Entry from Alexandria: a relaxed structure of Sb3IrS8 (PBE).

Computed properties:
Formation energy (no corrections) in eV per atom: -0.21

```
data_Sb3IrS8
_chemical_formula_sum 'Sb3 Ir1 S8'
_space_group_name_H-M_alt 'P 1'
_space_group_IT_number 1
_cell_length_a 7.399
_cell_length_b 7.384
_cell_length_c 7.575
_cell_angle_alpha 119.22
_cell_angle_beta 90.00
_cell_angle_gamma 120.07
loop_
_space_group_symop_operation_xyz
'x,y,z'
loop_
_atom_site_label
_atom_site_type_symbol
_atom_site_fract_x
_atom_site_fract_y
_atom_site_fract_z
S1 S 0.227 0.454 0.223
S2 S 0.249 0.498 0.750
S3 S 0.751 0.502 0.250
S4 S 0.773 0.546 0.777
S5 S 0.774 0.004 0.777
S6 S 0.226 0.996 0.223
S7 S 0.230 0.004 0.777
S8 S 0.770 0.996 0.223
Sb1 Sb 0.500 0.000 0.000
Sb2 Sb 0.500 0.500 0.000
Sb3 Sb 0.000 0.500 0.000
Ir1 Ir 0.000 0.000 0.000
```

=====

[6]
Entry from Alexandria: a relaxed structure of SbIr3S (PBE).

Computed properties:
Formation energy (no corrections) in eV per atom: 2.03
Energy relative to the lowest polymorph listed for this composition in meV/atom: 1265

```
data_SbIr3S
_chemical_formula_sum 'Sb1 Ir3 S1'
_space_group_name_H-M_alt 'P 1'
_space_group_IT_number 1
_cell_length_a 4.880
_cell_length_b 4.880
_cell_length_c 4.880
_cell_angle_alpha 90.00
_cell_angle_beta 90.00
_cell_angle_gamma 90.00
loop_
_space_group_symop_operation_xyz
'x,y,z'
loop_
_atom_site_label
_atom_site_type_symbol
_atom_site_fract_x
_atom_site_fract_y
_atom_site_fract_z
Ir1 Ir 0.000 0.500 0.000
Ir2 Ir 0.500 0.000 0.000
Ir3 Ir 0.000 0.000 0.500
Sb1 Sb 0.000 0.000 0.000
S1 S 0.500 0.500 0.500
```

=====

[7]
Entry from Alexandria: a relaxed structure of SbIrS3 (PBE).

Computed properties:
Formation energy (no corrections) in eV per atom: -0.24
Energy relative to the lowest polymorph listed for this composition in meV/atom: 0

```
data_SbIrS3
_chemical_formula_sum 'Sb2 Ir2 S6'
_space_group_name_H-M_alt 'P 1'
_space_group_IT_number 1
_cell_length_a 3.699
_cell_length_b 6.357
_cell_length_c 9.755
_cell_angle_alpha 90.19
_cell_angle_beta 90.00
_cell_angle_gamma 90.00
loop_
_space_group_symop_operation_xyz
'x,y,z'
loop_
_atom_site_label
_atom_site_type_symbol
_atom_site_fract_x
_atom_site_fract_y
_atom_site_fract_z
S1 S 0.750 0.809 0.011
S2 S 0.250 0.949 0.708
S3 S 0.750 0.051 0.292
S4 S 0.250 0.610 0.316
S5 S 0.250 0.191 0.989
S6 S 0.750 0.390 0.684
Ir1 Ir 0.750 0.085 0.846
Ir2 Ir 0.250 0.915 0.154
Sb1 Sb 0.250 0.586 0.812
Sb2 Sb 0.750 0.414 0.188
```

=====

[8]
Entry from Alexandria: a relaxed structure of Sb2IrS (PBE).

Computed properties:
Formation energy (no corrections) in eV per atom: 0.13

```
data_Sb2IrS
_chemical_formula_sum 'Sb4 Ir2 S2'
_space_group_name_H-M_alt 'P 1'
_space_group_IT_number 1
_cell_length_a 6.139
_cell_length_b 6.139
_cell_length_c 7.433
_cell_angle_alpha 65.61
_cell_angle_beta 65.61
_cell_angle_gamma 90.00
loop_
_space_group_symop_operation_xyz
'x,y,z'
loop_
_atom_site_label
_atom_site_type_symbol
_atom_site_fract_x
_atom_site_fract_y
_atom_site_fract_z
S1 S 0.500 0.500 0.000
S2 S 0.250 0.750 0.500
Ir1 Ir 0.750 0.250 0.500
Ir2 Ir 0.000 0.000 0.000
Sb1 Sb 0.658 0.125 0.250
Sb2 Sb 0.375 0.342 0.750
Sb3 Sb 0.875 0.908 0.750
Sb4 Sb 0.092 0.625 0.250
```

=====

[9]
Entry from Alexandria: a relaxed structure of SbIrS2 (PBE).

Computed properties:
Formation energy (no corrections) in eV per atom: 0.48

```
data_SbIrS2
_chemical_formula_sum 'Sb1 Ir1 S2'
_space_group_name_H-M_alt 'P 1'
_space_group_IT_number 1
_cell_length_a 9.245
_cell_length_b 9.245
_cell_length_c 9.245
_cell_angle_alpha 19.35
_cell_angle_beta 19.35
_cell_angle_gamma 19.35
loop_
_space_group_symop_operation_xyz
'x,y,z'
loop_
_atom_site_label
_atom_site_type_symbol
_atom_site_fract_x
_atom_site_fract_y
_atom_site_fract_z
Sb1 Sb 0.500 0.500 0.500
S1 S 0.082 0.082 0.082
S2 S 0.918 0.918 0.918
Ir1 Ir 0.000 0.000 0.000
```

=====

[10]
Entry from Alexandria: a relaxed structure of Sb3Ir2S3 (PBE).

Computed properties:
Formation energy (no corrections) in eV per atom: -0.17

```
data_Sb3Ir2S3
_chemical_formula_sum 'Sb12 Ir8 S12'
_space_group_name_H-M_alt 'P 1'
_space_group_IT_number 1
_cell_length_a 8.929
_cell_length_b 8.929
_cell_length_c 8.929
_cell_angle_alpha 90.11
_cell_angle_beta 90.11
_cell_angle_gamma 89.89
loop_
_space_group_symop_operation_xyz
'x,y,z'
loop_
_atom_site_label
_atom_site_type_symbol
_atom_site_fract_x
_atom_site_fract_y
_atom_site_fract_z
Ir1 Ir 0.240 0.747 0.754
Ir2 Ir 0.747 0.246 0.760
Ir3 Ir 0.261 0.261 0.739
Ir4 Ir 0.760 0.253 0.246
Ir5 Ir 0.739 0.739 0.261
Ir6 Ir 0.246 0.240 0.253
Ir7 Ir 0.754 0.760 0.747
Ir8 Ir 0.253 0.754 0.240
Sb1 Sb 0.005 0.144 0.660
Sb2 Sb 0.501 0.646 0.841
Sb3 Sb 0.159 0.501 0.354
Sb4 Sb 0.841 0.499 0.646
Sb5 Sb 0.646 0.159 0.499
Sb6 Sb 0.340 0.005 0.856
Sb7 Sb 0.660 0.995 0.144
Sb8 Sb 0.354 0.841 0.501
Sb9 Sb 0.995 0.856 0.340
Sb10 Sb 0.144 0.340 0.995
Sb11 Sb 0.856 0.660 0.005
Sb12 Sb 0.499 0.354 0.159
S1 S 0.682 0.999 0.861
S2 S 0.182 0.505 0.638
S3 S 0.638 0.818 0.505
S4 S 0.139 0.682 0.001
S5 S 0.495 0.638 0.182
S6 S 0.861 0.318 0.999
S7 S 0.362 0.182 0.495
S8 S 0.818 0.495 0.362
S9 S 0.505 0.362 0.818
S10 S 0.999 0.139 0.318
S11 S 0.001 0.861 0.682
S12 S 0.318 0.001 0.139
```